Arrangement i

The following is a PBE with a Hubbard U calculation of a relaxed VH10S2N2O8 crystal, from Alexandria via LeMat-Bulk.

Results
- V: 9.800 Å³ per atom
- N(E_F): 0.000 states/eV/atom
- SG: No. 14

Lattice parameters (Å, degrees): 5.188 13.279 7.716 90.00 122.00 90.00
Sites, in units of the cell vectors:
V: 0.000 0.000 0.000
V: 0.000 0.500 0.500
H: 0.139 0.210 0.272
H: 0.139 0.290 0.772
H: 0.165 0.189 0.653
H: 0.165 0.311 0.153
H: 0.229 0.593 0.846
H: 0.229 0.907 0.346
H: 0.315 0.180 0.906
H: 0.315 0.320 0.406
H: 0.483 0.242 0.320
H: 0.483 0.258 0.820
H: 0.517 0.742 0.180
H: 0.517 0.758 0.680
H: 0.685 0.680 0.594
H: 0.685 0.820 0.094
H: 0.771 0.093 0.654
H: 0.771 0.407 0.154
H: 0.835 0.689 0.847
H: 0.835 0.811 0.347
H: 0.861 0.710 0.228
H: 0.861 0.790 0.728
S: 0.285 0.557 0.231
S: 0.285 0.943 0.731
S: 0.715 0.057 0.269
S: 0.715 0.443 0.769
N: 0.277 0.229 0.788
N: 0.277 0.271 0.288
N: 0.723 0.729 0.712
N: 0.723 0.771 0.212
O: 0.088 0.590 0.323
O: 0.088 0.910 0.823
O: 0.209 0.638 0.071
O: 0.209 0.862 0.571
O: 0.215 0.589 0.713
O: 0.215 0.911 0.213
O: 0.383 0.085 0.089
O: 0.383 0.415 0.589
O: 0.617 0.585 0.411
O: 0.617 0.915 0.911
O: 0.785 0.089 0.787
O: 0.785 0.411 0.287
O: 0.791 0.138 0.429
O: 0.791 0.362 0.929
O: 0.912 0.090 0.177
O: 0.912 0.410 0.677

Arrangement ii

The following is a PBE with a Hubbard U calculation of a relaxed VH10S2N2O8 crystal, from Alexandria via LeMat-Bulk.

Results
- V: 9.285 Å³ per atom
- SG: No. 14

Lattice parameters (Å, degrees): 6.684 7.067 10.435 90.00 119.94 90.00
Sites, in units of the cell vectors:
V: 0.000 0.000 0.000
V: 0.000 0.500 0.500
H: 0.257 0.115 0.537
H: 0.257 0.385 0.037
H: 0.323 0.730 0.114
H: 0.323 0.770 0.614
H: 0.345 0.646 0.500
H: 0.345 0.854 0.000
H: 0.386 0.660 0.860
H: 0.386 0.840 0.360
H: 0.405 0.060 0.708
H: 0.405 0.440 0.208
H: 0.595 0.560 0.792
H: 0.595 0.940 0.292
H: 0.614 0.160 0.640
H: 0.614 0.340 0.140
H: 0.655 0.146 0.000
H: 0.655 0.354 0.500
H: 0.677 0.230 0.386
H: 0.677 0.270 0.886
H: 0.743 0.615 0.963
H: 0.743 0.885 0.463
S: 0.003 0.183 0.739
S: 0.003 0.317 0.239
S: 0.997 0.683 0.761
S: 0.997 0.817 0.261
N: 0.095 0.192 0.908
N: 0.095 0.308 0.408
N: 0.905 0.692 0.592
N: 0.905 0.808 0.092
O: 0.111 0.157 0.190
O: 0.111 0.343 0.690
O: 0.277 0.729 0.339
O: 0.277 0.771 0.839
O: 0.328 0.633 0.591
O: 0.328 0.867 0.091
O: 0.378 0.026 0.609
O: 0.378 0.474 0.109
O: 0.622 0.526 0.891
O: 0.622 0.974 0.391
O: 0.672 0.133 0.909
O: 0.672 0.367 0.409
O: 0.723 0.229 0.161
O: 0.723 0.271 0.661
O: 0.889 0.657 0.310
O: 0.889 0.843 0.810

Relative energies with respect to the most stable structure, expressed in kJ/mol of atoms: arrangement i 0.0; arrangement ii 17.0.